Record 1
First-principles (GGA-PBE) data for a geometry-optimized Na2NbW structure, as listed in Alexandria.

The space group is Fm-3m (No. 225) and the conventional cell measures 6.8662, 6.8662 and 6.8662 Å, with angles of 90.00, 90.00 and 90.00 degrees. Symmetry generates all atoms from Na at (0.2500, 0.2500, 0.2500), Nb at (0.0000, 0.0000, 0.0000) and W at (0.0000, 0.0000, 0.5000).

The value obtained for the volume is 20.23 A^3/atom. The total energy is -0.3369 Ry per atom. The formation energy from the elements comes out at 1.832 eV/atom.

---

Record 2
First-principles (GGA-PBE) data for a geometry-optimized NaNbW structure, as listed in Alexandria.

The space group is C2/m (No. 12) and the conventional cell measures 3.2749, 4.5786 and 15.9196 Å, with angles of 90.00, 90.10 and 90.00 degrees. Symmetry generates all atoms from Na at (0.2452, 0.0000, 0.1024), Nb at (0.2482, 0.5000, 0.2892) and W at (0.2494, 0.0000, 0.4309).

The value obtained for the volume is 19.89 A^3/atom. The total energy is -0.5768 Ry per atom. The formation energy from the elements comes out at 0.267 eV/atom.

---

Record 3
First-principles (GGA-PBE) data for a geometry-optimized NaNbW structure, as listed in Alexandria.

The space group is Pm (No. 6) and the conventional cell measures 4.4773, 3.1881 and 8.2727 Å, with angles of 90.00, 95.06 and 90.00 degrees. Symmetry generates all atoms from Na at (0.0000, 0.0000, 0.0000), Na at (0.4998, 0.5000, 0.0003), Nb at (0.0996, 0.5000, 0.3495), Nb at (0.8941, 0.5000, 0.6508), W at (0.4008, 0.0000, 0.6409) and W at (0.5928, 0.0000, 0.3595).

The value obtained for the volume is 19.60 A^3/atom. The total energy is -0.5521 Ry per atom. The formation energy from the elements comes out at 0.602 eV/atom.

---

Record 4
First-principles (GGA-PBE) data for a geometry-optimized NaNbW structure, as listed in Alexandria.

The space group is Pm (No. 6) and the conventional cell measures 2.7486, 4.6777 and 9.6282 Å, with angles of 90.00, 96.48 and 90.00 degrees. Symmetry generates all atoms from Na at (0.0000, 0.0000, 0.0000), Na at (0.3872, 0.5000, 0.8060), Nb at (0.3312, 0.0000, 0.3262), Nb at (0.7307, 0.0000, 0.5989), W at (0.0459, 0.5000, 0.4693) and W at (0.6801, 0.5000, 0.2109).

The value obtained for the volume is 20.50 A^3/atom. The total energy is -0.5595 Ry per atom. The formation energy from the elements comes out at 0.501 eV/atom.

---

Record 5
First-principles (GGA-PBE) data for a geometry-optimized Na2NbW structure, as listed in Alexandria.

The space group is I-42d (No. 122) and the conventional cell measures 8.3735, 8.3735 and 4.9830 Å, with angles of 90.00, 90.00 and 90.00 degrees. Symmetry generates all atoms from Na at (0.2446, 0.2500, 0.1250), Nb at (0.0000, 0.0000, 0.5000) and W at (0.0000, 0.0000, 0.0000).

The value obtained for the volume is 21.84 A^3/atom. The total energy is -0.3507 Ry per atom. The formation energy from the elements comes out at 1.643 eV/atom.

---

Record 6
First-principles (GGA-PBE) data for a geometry-optimized Na3NbW structure, as listed in Alexandria.

The space group is Pm-3m (No. 221) and the conventional cell measures 5.8396, 5.8396 and 5.8396 Å, with angles of 90.00, 90.00 and 90.00 degrees. Symmetry generates all atoms from Na at (0.0000, 0.0000, 0.5000), Nb at (0.0000, 0.0000, 0.0000) and W at (0.5000, 0.5000, 0.5000).

The value obtained for the volume is 39.83 A^3/atom. The total energy is -0.2147 Ry per atom. The formation energy from the elements comes out at 2.475 eV/atom.